[1]
Entry from the Alexandria database: a geometry-optimized Ce4Nd2Te3H2 structure (GGA-PBE).

Cell and atoms, written as CIF:
```
data_Ce4Nd2Te3H2
_space_group_name_H-M_alt 'I 4/m m m'
_space_group_IT_number 139
_space_group_name_Hall '-I 4 2'
_cell_length_a 4.500
_cell_length_b 4.500
_cell_length_c 27.187
_cell_angle_alpha 90.00
_cell_angle_beta 90.00
_cell_angle_gamma 90.00
loop_
_atom_site_label
_atom_site_type_symbol
_atom_site_fract_x
_atom_site_fract_y
_atom_site_fract_z
_atom_site_occupancy
Ce1 Ce 0.000 0.500 0.086 1
Nd1 Nd 0.000 0.000 0.204 1
Te1 Te 0.000 0.000 0.324 1
Te2 Te 0.000 0.000 0.500 1
H1 H 0.000 0.000 0.067 1
```

Results
Its final energy is -5.2909 eV/atom. As for the density of states at the Fermi level: 41.70 states/eV/cell.

[2]
Entry from the Alexandria database: a geometry-optimized BeCrReOs structure (GGA-PBE).

Cell and atoms, written as CIF:
```
data_BeCrReOs
_space_group_name_H-M_alt 'F -4 3 m'
_space_group_IT_number 216
_space_group_name_Hall 'F -4 2 3'
_cell_length_a 5.835
_cell_length_b 5.835
_cell_length_c 5.835
_cell_angle_alpha 90.00
_cell_angle_beta 90.00
_cell_angle_gamma 90.00
loop_
_atom_site_label
_atom_site_type_symbol
_atom_site_fract_x
_atom_site_fract_y
_atom_site_fract_z
_atom_site_occupancy
Be1 Be 0.000 0.000 0.000 1
Cr1 Cr 0.000 0.000 0.500 1
Re1 Re 0.250 0.250 0.750 1
Os1 Os 0.250 0.250 0.250 1
```

Results
Its final energy is -9.2444 eV/atom. As for the density of states at the Fermi level: 10.95 states/eV/cell. The calculation puts the formation energy at 12 meV/atom.

[3]
Entry from the Alexandria database: a geometry-optimized MgFePb2 structure (GGA-PBE).

Cell and atoms, written as CIF:
```
data_MgFePb2
_space_group_name_H-M_alt 'C 1 2/m 1'
_space_group_IT_number 12
_cell_length_a 9.228
_cell_length_b 3.497
_cell_length_c 5.927
_cell_angle_alpha 90.00
_cell_angle_beta 105.45
_cell_angle_gamma 90.00
loop_
_space_group_symop_operation_xyz
'x,y,z'
'-x,-y,-z'
'-x,y,-z'
'x,-y,z'
'x+1/2,y+1/2,z'
'-x+1/2,-y+1/2,-z'
'-x+1/2,y+1/2,-z'
'x+1/2,-y+1/2,z'
loop_
_atom_site_label
_atom_site_type_symbol
_atom_site_fract_x
_atom_site_fract_y
_atom_site_fract_z
_atom_site_occupancy
Mg1 Mg 0.000 0.000 0.000 1
Fe1 Fe 0.000 0.500 0.500 1
Pb1 Pb 0.234 0.000 0.724 1
```

Results
Its final energy is -4.0056 eV/atom. As for the density of states at the Fermi level: 5.31 states/eV/cell. The calculation puts the formation energy at 363 meV/atom.

Question: Among the records above, which one has the highest final energy?
Answer: MgFePb2

Question: Number 3 is which compound?
Answer: MgFePb2

Question: Which of these has the lowest final energy?
Answer: BeCrReOs